A crystal of HoAlAu relaxed with PBEsol, computed with SCAN.

a = 4.4070 Å, b = 7.0804 Å, c = 7.6642 Å
α = 90.00°, β = 90.00°, γ = 90.00°
Closest atoms and distances in Å follow each position.
Element x y z (fractional)
1 Al 0.7500 0.3280 0.4223  4 Au 2.59-2.73
2 Al 0.2500 0.6720 0.5777  4 Au 2.59-2.73
3 Ho 0.7500 0.9912 0.6954  5 Au 2.97-3.13, 6 Al 3.09-3.28
4 Au 0.2500 0.7863 0.9042  4 Al 2.59-2.73
5 Ho 0.2500 0.5088 0.1954  5 Au 2.97-3.13, 6 Al 3.09-3.28
6 Au 0.7500 0.7137 0.4042  4 Al 2.59-2.73
7 Al 0.7500 0.8280 0.0777  4 Au 2.59-2.73
8 Ho 0.2500 0.0088 0.3046  5 Au 2.97-3.13, 6 Al 3.09-3.28
9 Au 0.2500 0.2863 0.5958  4 Al 2.59-2.73
10 Au 0.7500 0.2137 0.0958  4 Al 2.59-2.73
11 Al 0.2500 0.1720 0.9223  4 Au 2.59-2.73
12 Ho 0.7500 0.4912 0.8046  5 Au 2.97-3.13, 6 Al 3.09-3.28

Summary:
DFT total energy	-516.323	eV/cell
formation energy from the elements	-3.2	eV/f.u.